[1]
Density functional theory data (PBE-GGA) for a geometry-optimized PmSbF structure.

energy above the lowest structure with this stoichiometry = 0.000 eV/atom
E_form (uncorrected) = -2109 meV per atom

Cell: 4.8700 4.0647 4.0647 Å, 120.00 90.00 90.00°
Atoms (fractional coordinates):
1 F 0.1668 0.3333 0.6667
2 Sb 0.6666 0.6667 0.3333
3 Pm 0.1665 0.0000 0.0000


[2]
Density functional theory data (PBE-GGA) for a geometry-optimized CrCdOsW2 structure.

energy above the lowest structure with this stoichiometry = 0.000 eV/atom
energy of formation from the pure elements = 11.1 eV/f.u.

Cell: 4.7364 4.7364 4.9916 Å, 90.00 90.00 90.00°
Each line ends with the local moment (μB).
Atoms (fractional coordinates):
1 Cd 0.0000 0.0000 0.5000  0.01
2 Os 0.0000 0.0000 0.0000  0.01
3 W 0.5000 0.0000 0.0000  0.09
4 Cr 0.5000 0.5000 0.5000  0.09
5 W 0.0000 0.5000 0.0000  0.09


[3]
Density functional theory data (PBE-GGA) for a geometry-optimized Ho12Er2Tm5 structure.

energy above the lowest structure with this stoichiometry = 0.000 eV/atom
energy of formation from the pure elements = 1.7 eV/f.u.

Cell: 6.4117 8.7458 11.7563 Å, 115.24 98.93 81.67°
Atoms (fractional coordinates):
1 Tm 0.4888 0.6716 0.7823
2 Tm 0.5112 0.3284 0.2177
3 Ho 0.2226 0.5555 0.4591
4 Ho 0.0307 0.6304 0.8694
5 Ho 0.7035 0.6899 0.3582
6 Ho 0.9693 0.3696 0.1306
7 Ho 0.6683 0.7026 0.0755
8 Ho 0.9448 0.1118 0.2686
9 Ho 0.0552 0.8882 0.7314
10 Tm 0.8033 0.2898 0.8006
11 Tm 0.1967 0.7102 0.1994
12 Tm 0.0000 0.0000 0.5000
13 Ho 0.2965 0.3101 0.6418
14 Ho 0.4746 0.0657 0.3629
15 Ho 0.7774 0.4445 0.5409
16 Er 0.7351 0.0168 0.9597
17 Er 0.2649 0.9832 0.0403
18 Ho 0.5254 0.9343 0.6371
19 Ho 0.3317 0.2974 0.9245


[4]
Density functional theory data (PBE-GGA) for a geometry-optimized YHoPbS structure.

E_form (uncorrected) = -1223 meV per atom

Cell: 3.7955 3.7940 8.3958 Å, 90.02 103.17 119.72°
Atoms (fractional coordinates):
1 Y 0.9334 0.3654 0.3138
2 Ho 0.3400 0.5679 0.9215
3 S 0.1338 0.9654 0.1133
4 Pb 0.4706 0.1322 0.6210


[5]
Density functional theory data (PBE-GGA) for a geometry-optimized CeTh2P2Ir7 structure.

energy of formation from the pure elements = -10.6 eV/f.u.

Cell: 4.0392 4.0392 13.6693 Å, 84.83 84.83 89.62°
Atoms (fractional coordinates):
1 Th 0.9030 0.9030 0.3496
2 Ir 0.0491 0.5479 0.8404
3 Ir 0.3971 0.3971 0.4186
4 Ir 0.5479 0.0491 0.8404
5 Ir 0.9509 0.4521 0.1596
6 Ir 0.5000 0.5000 0.0000
7 P 0.5767 0.5767 0.7511
8 Th 0.0970 0.0970 0.6504
9 Ir 0.6029 0.6029 0.5814
10 P 0.4233 0.4233 0.2489
11 Ce 0.0000 0.0000 0.0000
12 Ir 0.4521 0.9509 0.1596


[6]
Density functional theory data (PBE-GGA) for a geometry-optimized Zn2RhPb structure.

energy of formation from the pure elements = 0.0 eV/f.u.

Cell: 4.8435 4.8435 4.8316 Å, 75.44 75.44 41.92°
Atoms (fractional coordinates):
1 Zn 0.0205 0.0205 0.9333
2 Zn 0.4795 0.4795 0.5667
3 Rh 0.7500 0.7500 0.7500
4 Pb 0.2500 0.2500 0.2500


[7]
Density functional theory data (PBE-GGA) for a geometry-optimized KCr2Cu structure.

energy above the lowest structure with this stoichiometry = 0.298 eV/atom
energy of formation from the pure elements = 3.8 eV/f.u.

Cell: 3.1797 3.1739 9.2901 Å, 70.14 90.00 90.00°
Each line ends with the local moment (μB).
Atoms (fractional coordinates):
1 Cu 0.5000 0.2500 0.2500  0.17
2 Cr 0.0000 0.9150 0.0841  3.76
3 K 0.5000 0.7500 0.7500  0.04
4 Cr 0.0000 0.5850 0.4159  3.76


[8]
Density functional theory data (PBE-GGA) for a geometry-optimized RbMnVC2 structure.

energy of formation from the pure elements = 10.5 eV/f.u.

Cell: 4.1041 5.3095 4.1041 Å, 90.00 90.00 90.00°
Each line ends with the local moment (μB).
Atoms (fractional coordinates):
1 C 0.5000 0.0000 0.0000  -0.07
2 Rb 0.0000 0.5000 0.0000  0.09
3 C 0.0000 0.0000 0.5000  -0.09
4 Mn 0.5000 0.5000 0.5000  4.29
5 V 0.0000 0.0000 0.0000  1.21


[9]
Density functional theory data (PBE-GGA) for a geometry-optimized LiNd2Dy3Se6 structure.

E_form (uncorrected) = -1768 meV per atom

Cell: 7.1359 7.1359 7.1302 Å, 99.66 99.66 120.15°
Atoms (fractional coordinates):
1 Nd 0.3344 0.6656 0.0000
2 Se 0.2334 0.2334 0.7466
3 Se 0.7666 0.7666 0.2534
4 Dy 0.5000 0.5000 0.5000
5 Se 0.0845 0.4043 0.2548
6 Se 0.5957 0.9155 0.7452
7 Dy 0.1687 0.8313 0.5000
8 Nd 0.6656 0.3344 0.0000
9 Li 0.0000 0.0000 0.0000
10 Dy 0.8313 0.1687 0.5000
11 Se 0.4043 0.0845 0.2548
12 Se 0.9155 0.5957 0.7452


[10]
Density functional theory data (PBE-GGA) for a geometry-optimized LiSm2ZnCu6 structure.

energy of formation from the pure elements = -0.7 eV/f.u.

Cell: 6.5865 6.4242 6.4303 Å, 44.97 80.95 97.39°
Atoms (fractional coordinates):
1 Cu 0.2447 0.2414 0.4973
2 Cu 0.7552 0.2574 0.0039
3 Sm 0.2929 0.7474 0.4546
4 Li 0.5000 0.5000 0.0000
5 Cu 0.9308 0.7517 0.8207
6 Zn 0.0000 0.0000 0.0000
7 Sm 0.7071 0.2526 0.5454
8 Cu 0.0692 0.2483 0.1793
9 Cu 0.2448 0.7426 0.9961
10 Cu 0.7553 0.7586 0.5027


[11]
Density functional theory data (PBE-GGA) for a geometry-optimized Y5Si2Ag structure.

E_form (uncorrected) = -542 meV per atom

Cell: 7.5041 7.5041 8.9512 Å, 114.78 114.78 90.00°
Atoms (fractional coordinates):
1 Y 0.0000 0.0000 0.0000
2 Y 0.0311 0.5311 0.7200
3 Y 0.3110 0.8110 0.2800
4 Ag 0.2500 0.2500 0.5000
5 Y 0.8110 0.9689 0.2800
6 Y 0.5311 0.6890 0.7200
7 Ag 0.7500 0.7500 0.5000
8 Y 0.6890 0.1890 0.7200
9 Si 0.1229 0.3771 0.0000
10 Si 0.6229 0.1229 0.0000
11 Y 0.1890 0.0311 0.7200
12 Si 0.3771 0.8771 0.0000
13 Y 0.9689 0.4689 0.2800
14 Y 0.5000 0.5000 0.0000
15 Y 0.4689 0.3110 0.2800
16 Si 0.8771 0.6229 0.0000


[12]
Density functional theory data (PBE-GGA) for a geometry-optimized KMnSnTe3 structure.

E_form (uncorrected) = -405 meV per atom

Cell: 4.3413 10.0459 10.3832 Å, 106.11 90.00 90.00°
Each line ends with the local moment (μB).
Atoms (fractional coordinates):
1 Te 0.2500 0.1187 0.8698  0.00
2 Mn 0.2500 0.0761 0.6046  4.11
3 Te 0.2500 0.7960 0.4735  0.05
4 Sn 0.7500 0.3418 0.8738  -0.01
5 Te 0.7500 0.8813 0.1302  0.00
6 Te 0.7500 0.4585 0.1700  -0.01
7 Sn 0.2500 0.6582 0.1262  -0.01
8 Mn 0.7500 0.9239 0.3954  4.11
9 K 0.2500 0.1929 0.2350  0.00
10 K 0.7500 0.8071 0.7650  0.00
11 Te 0.7500 0.2040 0.5265  0.05
12 Te 0.2500 0.5415 0.8300  -0.01


[13]
Density functional theory data (PBE-GGA) for a geometry-optimized AgMo2Ru structure.

energy above the lowest structure with this stoichiometry = 0.201 eV/atom
energy of formation from the pure elements = 1.9 eV/f.u.

Cell: 5.3200 5.3200 5.3200 Å, 146.43 128.66 62.75°
Atoms (fractional coordinates):
1 Mo 0.0225 0.0225 0.0000
2 Ru 0.4797 0.4797 0.0000
3 Mo 0.2486 0.7486 0.5000
4 Ag 0.7492 0.2492 0.5000


[14]
Density functional theory data (PBE-GGA) for a geometry-optimized Ba2TlPbS4 structure.

E_form (uncorrected) = -1148 meV per atom

Cell: 8.8130 8.8130 8.7461 Å, 119.75 119.75 90.09°
Atoms (fractional coordinates):
1 S 0.2450 0.2548 0.0072
2 Tl 0.0000 0.0000 0.0000
3 S 0.2452 0.2550 0.4928
4 Pb 0.0000 0.5000 0.0000
5 S 0.7550 0.7452 0.9928
6 Ba 0.5000 0.5000 0.0000
7 Tl 0.5000 0.5000 0.5000
8 Ba 0.0000 0.0000 0.5000
9 Ba 0.5000 0.0000 0.0000
10 S 0.2438 0.7390 0.4914
11 S 0.7562 0.2609 0.5086
12 S 0.7610 0.2562 0.0086
13 S 0.2391 0.7438 0.9914
14 Pb 0.0000 0.5000 0.5000
15 S 0.7548 0.7450 0.5072
16 Ba 0.5000 0.0000 0.5000


[15]
Density functional theory data (PBE-GGA) for a geometry-optimized KBa3Mg structure.

energy above the lowest structure with this stoichiometry = 0.000 eV/atom
energy of formation from the pure elements = 0.8 eV/f.u.

Cell: 6.9844 6.9844 6.9844 Å, 90.00 90.00 90.00°
Atoms (fractional coordinates):
1 Ba 0.0000 0.0000 0.5000
2 Ba 0.5000 0.0000 0.0000
3 Ba 0.0000 0.5000 0.0000
4 K 0.5000 0.5000 0.5000
5 Mg 0.0000 0.0000 0.0000


[16]
Density functional theory data (PBE-GGA) for a geometry-optimized Ac7NiIr3 structure.

energy of formation from the pure elements = -3.8 eV/f.u.

Cell: 7.4522 7.4006 7.4010 Å, 99.88 103.66 103.66°
Atoms (fractional coordinates):
1 Ac 0.2450 0.1659 0.1659
2 Ni 0.5000 0.5000 0.5000
3 Ir 0.5000 0.0000 0.0000
4 Ac 0.0000 0.5000 0.5000
5 Ac 0.7324 0.9487 0.3699
6 Ir 0.0000 0.2233 0.7768
7 Ac 0.2676 0.0513 0.6301
8 Ac 0.7550 0.8341 0.8341
9 Ac 0.7324 0.3699 0.9487
10 Ir 0.0000 0.7767 0.2232
11 Ac 0.2676 0.6301 0.0513


[17]
Density functional theory data (PBE-GGA) for a geometry-optimized ZrGeB2I structure.

E_form (uncorrected) = 1939 meV per atom

Cell: 4.3767 5.6065 4.3767 Å, 90.00 90.00 90.00°
Atoms (fractional coordinates):
1 I 0.0000 0.0000 0.0000
2 Ge 0.5000 0.5000 0.5000
3 Zr 0.0000 0.5000 0.0000
4 B 0.5000 0.0000 0.0000
5 B 0.0000 0.0000 0.5000


Values for VASP energy, eV for the cell shown, ordered as above
-17.073 -36.529 -84.677 -23.768 -104.253 -13.586 -20.683 -27.156 -67.376 -37.891 -100.706 -52.255 -31.865 -71.221 -7.666 -64.906 -18.374